[1]
Compound: CsLa2In2
Source: Alexandria via LeMat-Bulk
Functional: PBE-GGA
Structure: optimized geometry

Lattice parameters (Å, degrees): 7.890 7.890 7.890 139.62 139.62 58.43
Sites, in units of the cell vectors:
Cs (0.000, 0.000, 0.000)
La (0.250, 0.750, 0.500)
La (0.750, 0.250, 0.500)
In (0.394, 0.394, 0.000)
In (0.606, 0.606, 0.000)

As for the space group: No. 139. The formation energy is 0.00 eV per atom.



[2]
Compound: CsLaIn2
Source: Alexandria via LeMat-Bulk
Functional: PBE-GGA
Structure: optimized geometry

Lattice parameters (Å, degrees): 5.931 5.931 5.931 60.00 60.00 60.00
Sites, in units of the cell vectors:
Cs (0.000, 0.000, 0.000)
La (0.500, 0.500, 0.500)
In (0.250, 0.250, 0.250)
In (0.750, 0.750, 0.750)

As for the space group: No. 225. The formation energy is 0.05 eV per atom.